# LaPr5Zn4 (PBE, relaxed)
# * DOS at the Fermi energy: 1.2753 states/eV/atom
# * E_form: -0.24 eV per atom
# * magnetization: 0.00 μB/atom
# * raw total energy: -3.632 eV per atom
data_LaPr5Zn4
_chemical_formula_sum 'La1 Pr5 Zn4'
_cell_length_a 3.721
_cell_length_b 3.721
_cell_length_c 20.118
_cell_angle_alpha 90.00
_cell_angle_beta 90.00
_cell_angle_gamma 90.00
_symmetry_space_group_name_H-M 'P 4/m m m'
_symmetry_Int_Tables_number 123
_symmetry_space_group_name_Hall '-P 4 2'
loop_
_atom_site_label
_atom_site_type_symbol
_atom_site_fract_x
_atom_site_fract_y
_atom_site_fract_z
La1 La 0.000 0.000 0.000
Pr1 Pr 0.500 0.500 0.133
Pr2 Pr 0.500 0.500 0.317
Pr3 Pr 0.500 0.500 0.500
Zn1 Zn 0.000 0.000 0.223
Zn2 Zn 0.000 0.000 0.408